This record from Alexandria describes an optimized crystal structure of KRb2VOs. The functional is PBE-GGA.

Computed properties:
Fermi-level density of states = 9.10 states/eV/cell
M_tot = 1.27 μB per atom
ΔH_f (0 K) = 1036 kJ/mol of formula units
Calculated total energy = -2.528 eV/atom

Lattice parameters (Å, degrees): 6.509 6.509 5.512 90.00 90.00 90.00
Space group P4/mmm (No. 123)
Inequivalent atoms, fractional coordinates:
K (0.000, 0.000, 0.000) x1
Rb (0.000, 0.500, 0.000) x2
V (0.500, 0.500, 0.500) x1
Os (0.000, 0.000, 0.500) x1